# 1
A geometry-optimized TbPr2SmY structure, computed with PBE.

Its formation enthalpy at 0 K is 0.394 eV per atom. The value obtained for the uncorrected energy is -4.681 eV per atom.

Lattice parameters (Å, degrees): 8.462 11.781 7.311 90.00 90.00 90.00
Space group Cmcm (No. 63)
Asymmetric unit:
Tb (0.000, 0.024, 0.250) x4
Pr (0.193, 0.500, 0.000) x8
Sm (0.000, 0.284, 0.250) x4
Y (0.000, 0.256, 0.750) x4

---

# 2
A geometry-optimized Ba2Ge2Te structure, computed with PBE.

For the formation energy (no corrections), the calculation gives -0.531 eV/atom. The value obtained for the uncorrected energy is -3.776 eV per atom.

Lattice parameters (Å, degrees): 6.445 6.445 8.700 90.00 90.00 90.00
Space group I4/mmm (No. 139)
Asymmetric unit:
Ba (0.000, 0.500, 0.250) x4
Ge (0.000, 0.000, 0.136) x4
Te (0.000, 0.000, 0.500) x2

---

# 3
A geometry-optimized CaPrTcO6 structure, computed with PBE.

For the formation energy (no corrections), the calculation gives -2.224 eV/atom. The value obtained for the uncorrected energy is -7.435 eV per atom.

Lattice parameters (Å, degrees): 5.5428 5.5428 4.9788 90.00 90.00 120.00
Space group P312 (No. 149)
Asymmetric unit:
Ca (0.0000, 0.0000, 0.0000) x1
Pr (0.6667, 0.3333, 0.5000) x1
Tc (0.3333, 0.6667, 0.0000) x1
O (0.0473, 0.3879, 0.2185) x6

---

# 4
A geometry-optimized Sr2Nb3O8 structure, computed with PBE.

For the formation energy (no corrections), the calculation gives -2.558 eV/atom. The value obtained for the uncorrected energy is -8.192 eV per atom.

Lattice parameters (Å, degrees): 4.040 4.040 11.337 90.00 90.00 90.00
Space group P4/mmm (No. 123)
Asymmetric unit:
Sr (0.000, 0.000, 0.195) x2
Nb (0.500, 0.500, 0.000) x1
Nb (0.500, 0.500, 0.365) x2
O (0.000, 0.500, 0.000) x2
O (0.000, 0.500, 0.356) x4
O (0.500, 0.500, 0.178) x2

---

# 5
A geometry-optimized K2Pt3 structure, computed with PBE.

Its formation enthalpy at 0 K is 0.392 eV per atom. The value obtained for the uncorrected energy is -3.671 eV per atom.

Lattice parameters (Å, degrees): 4.2446 4.2446 29.2693 90.00 90.00 120.00
Space group R-3m (No. 166, hexagonal axes)
Asymmetric unit:
K (0.0000, 0.0000, 0.0903) x6
Pt (0.0000, 0.0000, 0.3334) x6
Pt (0.0000, 0.0000, 0.5000) x3

---

# 6
A geometry-optimized TaCr2Cd structure, computed with PBE.

Its formation enthalpy at 0 K is 0.418 eV per atom. The value obtained for the uncorrected energy is -7.585 eV per atom.

Lattice parameters (Å, degrees): 2.791 4.360 5.521 90.00 99.46 90.00
Space group P2/m (No. 10)
Asymmetric unit:
Ta (0.000, 0.000, 0.000) x1
Cr (0.307, 0.500, 0.818) x2
Cd (0.500, 0.000, 0.500) x1

---

# 7
A geometry-optimized CuSb3C structure, computed with PBE.

For the formation energy (no corrections), the calculation gives 1.710 eV/atom. The value obtained for the uncorrected energy is -3.427 eV per atom.

Lattice parameters (Å, degrees): 4.992 4.992 4.992 90.00 90.00 90.00
Space group Pm-3m (No. 221)
Asymmetric unit:
Cu (0.000, 0.000, 0.000) x1
Sb (0.000, 0.000, 0.500) x3
C (0.500, 0.500, 0.500) x1

---

# 8
A geometry-optimized Ba3AsP structure, computed with PBE.

Its formation enthalpy at 0 K is -0.996 eV per atom. The value obtained for the uncorrected energy is -4.162 eV per atom.

Lattice parameters (Å, degrees): 9.378 9.047 9.200 90.00 97.32 90.00
Space group P2_1/c (No. 14)
Asymmetric unit:
Ba (0.069, 0.016, 0.233) x4
Ba (0.295, 0.110, 0.588) x4
Ba (0.378, 0.679, 0.520) x4
As (0.052, 0.724, 0.010) x4
P (0.424, 0.090, 0.264) x4